Entry 1:
Here is Ho2MgRu2 after structural relaxation from the Alexandria database. Energies are from PBE-GGA.

Its formation energy is -269 meV/atom. Its calculated total energy is -6.13 eV per atom.

abc: 5.7181 5.7181 8.0701
angles: 104.48 104.48 56.02
Sites, in units of the cell vectors:
Ho (0.0206, 0.6881, 0.8534)
Ho (0.3119, 0.9794, 0.6466)
Ho (0.6881, 0.0206, 0.3534)
Ho (0.9794, 0.3119, 0.1466)
Mg (0.3456, 0.6544, 0.2500)
Mg (0.6544, 0.3456, 0.7500)
Ru (0.1940, 0.5357, 0.5003)
Ru (0.4643, 0.8060, 0.9997)
Ru (0.5357, 0.1940, 0.0003)
Ru (0.8060, 0.4643, 0.4997)

=====

Entry 2:
Here is Sm3Tm2Ag3 after structural relaxation from the Alexandria database. Energies are from PBE-GGA.

Its formation energy is -207 meV/atom. Its calculated total energy is -4.16 eV per atom.

abc: 11.3585 11.3585 11.3585
angles: 161.41 152.76 33.18
Sites, in units of the cell vectors:
Sm (0.0000, 0.0000, 0.0000)
Sm (0.3778, 0.8778, 0.5000)
Sm (0.6222, 0.1222, 0.5000)
Tm (0.2324, 0.2324, 0.0000)
Tm (0.7676, 0.7676, 0.0000)
Ag (0.1215, 0.6215, 0.5000)
Ag (0.5000, 0.5000, 0.0000)
Ag (0.8785, 0.3785, 0.5000)

=====

The lowest calculated total energy belongs to which entry?
Ho2MgRu2

=====

What is the calculated total energy in the second record?
-4.16 eV per atom

=====

What is the calculated total energy in the second record?
-4.16 eV per atom